# 1
Computed, not measured: a geometry-optimized SrCaOs2N4 structure at the PBE level of DFT.

Cell and atoms, written as CIF:
```
data_SrCaOs2N4
_chemical_formula_sum 'Sr1 Ca1 Os2 N4'
_symmetry_space_group_name_H-M 'P 1'
_symmetry_Int_Tables_number 1
_cell_length_a 5.4650
_cell_length_b 5.4512
_cell_length_c 5.4512
_cell_angle_alpha 60.17
_cell_angle_beta 59.92
_cell_angle_gamma 59.92
loop_
_symmetry_equiv_pos_as_xyz
'x,y,z'
loop_
_atom_site_label
_atom_site_type_symbol
_atom_site_fract_x
_atom_site_fract_y
_atom_site_fract_z
Sr1 Sr 0.0000 0.0000 0.0000
Ca1 Ca 0.5000 0.5000 0.5000
Os1 Os 0.2500 0.2500 0.2500
Os2 Os 0.7500 0.7500 0.7500
N1 N 0.5003 0.0004 0.4997
N2 N 0.0004 0.9996 0.5003
N3 N 0.9996 0.4997 0.0004
N4 N 0.4997 0.5003 0.9996
```

- Formation energy without anion corrections: -388 meV/atom
- V: 115 Å³/cell
- ρ: 8.16 g cm⁻³
- Space-group type: I4/mmm

=====

# 2
Computed, not measured: a geometry-optimized SrCa2OsN4 structure at the PBE level of DFT.

Cell and atoms, written as CIF:
```
data_SrCa2OsN4
_chemical_formula_sum 'Sr2 Ca4 Os2 N8'
_symmetry_space_group_name_H-M 'P 1'
_symmetry_Int_Tables_number 1
_cell_length_a 5.6269
_cell_length_b 6.5607
_cell_length_c 7.7802
_cell_angle_alpha 90.00
_cell_angle_beta 90.00
_cell_angle_gamma 90.00
loop_
_symmetry_equiv_pos_as_xyz
'x,y,z'
loop_
_atom_site_label
_atom_site_type_symbol
_atom_site_fract_x
_atom_site_fract_y
_atom_site_fract_z
Sr1 Sr 0.9644 0.1431 0.5000
Sr2 Sr 0.4644 0.8569 0.0000
Ca1 Ca 0.4767 0.3324 0.2559
Ca2 Ca 0.4767 0.3324 0.7441
Ca3 Ca 0.9767 0.6676 0.7559
Ca4 Ca 0.9767 0.6676 0.2441
Os1 Os 0.5000 0.8190 0.5000
Os2 Os 0.0000 0.1810 0.0000
N1 N 0.3333 0.2123 0.0000
N2 N 0.8333 0.7877 0.5000
N3 N 0.4491 0.1060 0.5000
N4 N 0.9491 0.8940 0.0000
N5 N 0.3998 0.6880 0.7021
N6 N 0.8998 0.3120 0.2021
N7 N 0.8998 0.3120 0.7979
N8 N 0.3998 0.6880 0.2979
```

- Formation energy without anion corrections: -526 meV/atom
- V: 287 Å³/cell
- ρ: 4.79 g cm⁻³
- Space-group type: Pmn2_1

=====

# 3
Computed, not measured: a geometry-optimized Ca2TaOsN structure at the PBE level of DFT.

Cell and atoms, written as CIF:
```
data_Ca2TaOsN
_chemical_formula_sum 'Ca2 Ta1 Os1 N1'
_symmetry_space_group_name_H-M 'P 1'
_symmetry_Int_Tables_number 1
_cell_length_a 5.9636
_cell_length_b 4.6011
_cell_length_c 5.9636
_cell_angle_alpha 90.00
_cell_angle_beta 90.00
_cell_angle_gamma 90.00
loop_
_symmetry_equiv_pos_as_xyz
'x,y,z'
loop_
_atom_site_label
_atom_site_type_symbol
_atom_site_fract_x
_atom_site_fract_y
_atom_site_fract_z
Ca1 Ca 0.0000 0.0000 0.5000
Ca2 Ca 0.5000 0.0000 0.0000
N1 N 0.5000 0.5000 0.5000
Os1 Os 0.0000 0.5000 0.0000
Ta1 Ta 0.0000 0.0000 0.0000
```

- Formation energy without anion corrections: 1939 meV/atom
- V: 164 Å³/cell
- ρ: 4.72 g cm⁻³
- Space-group type: P4/mmm

=====

# 4
Computed, not measured: a geometry-optimized CaTeOsN2 structure at the PBE level of DFT.

Cell and atoms, written as CIF:
```
data_CaTeOsN2
_chemical_formula_sum 'Ca1 Te1 Os1 N2'
_symmetry_space_group_name_H-M 'P 1'
_symmetry_Int_Tables_number 1
_cell_length_a 4.3401
_cell_length_b 4.3401
_cell_length_c 6.4741
_cell_angle_alpha 90.00
_cell_angle_beta 90.00
_cell_angle_gamma 90.00
loop_
_symmetry_equiv_pos_as_xyz
'x,y,z'
loop_
_atom_site_label
_atom_site_type_symbol
_atom_site_fract_x
_atom_site_fract_y
_atom_site_fract_z
Ca1 Ca 0.0000 0.0000 0.0000
Te1 Te 0.0000 0.0000 0.5000
Os1 Os 0.5000 0.5000 0.5000
N1 N 0.0000 0.5000 0.0000
N2 N 0.5000 0.0000 0.0000
```

- Formation energy without anion corrections: 2164 meV/atom
- V: 122 Å³/cell
- ρ: 5.25 g cm⁻³
- Space-group type: P4/mmm

=====

# 5
Computed, not measured: a geometry-optimized CaTeOsN2 structure at the PBE level of DFT.

Cell and atoms, written as CIF:
```
data_CaTeOsN2
_chemical_formula_sum 'Ca1 Te1 Os1 N2'
_symmetry_space_group_name_H-M 'P 1'
_symmetry_Int_Tables_number 1
_cell_length_a 3.9800
_cell_length_b 3.9800
_cell_length_c 5.7225
_cell_angle_alpha 90.00
_cell_angle_beta 90.00
_cell_angle_gamma 90.00
loop_
_symmetry_equiv_pos_as_xyz
'x,y,z'
loop_
_atom_site_label
_atom_site_type_symbol
_atom_site_fract_x
_atom_site_fract_y
_atom_site_fract_z
Ca1 Ca 0.5000 0.5000 0.5000
Te1 Te 0.0000 0.0000 0.5000
Os1 Os 0.0000 0.0000 0.0000
N1 N 0.0000 0.5000 0.0000
N2 N 0.5000 0.0000 0.0000
```

- Formation energy without anion corrections: 188 meV/atom
- V: 91 Å³/cell
- ρ: 7.07 g cm⁻³
- Space-group type: P4/mmm

=====

# 6
Computed, not measured: a geometry-optimized CaTh2OsN5 structure at the PBE level of DFT.

Cell and atoms, written as CIF:
```
data_CaTh2OsN5
_chemical_formula_sum 'Ca2 Th4 Os2 N10'
_symmetry_space_group_name_H-M 'P 1'
_symmetry_Int_Tables_number 1
_cell_length_a 6.8913
_cell_length_b 6.8913
_cell_length_c 7.5723
_cell_angle_alpha 117.07
_cell_angle_beta 117.07
_cell_angle_gamma 90.00
loop_
_symmetry_equiv_pos_as_xyz
'x,y,z'
loop_
_atom_site_label
_atom_site_type_symbol
_atom_site_fract_x
_atom_site_fract_y
_atom_site_fract_z
Ca1 Ca 0.2500 0.2500 0.5000
Ca2 Ca 0.7500 0.7500 0.5000
Th1 Th 0.1829 0.3171 0.0000
Th2 Th 0.6829 0.1829 0.0000
Th3 Th 0.3171 0.8171 0.0000
Th4 Th 0.8171 0.6829 0.0000
Os1 Os 0.2500 0.7500 0.5000
Os2 Os 0.7500 0.2500 0.5000
N1 N 0.9969 0.4969 0.2749
N2 N 0.7220 0.2220 0.7251
N3 N 0.0031 0.5031 0.7251
N4 N 0.2220 0.0031 0.7251
N5 N 0.5031 0.7220 0.7251
N6 N 0.7780 0.9969 0.2749
N7 N 0.4969 0.2780 0.2749
N8 N 0.2780 0.7780 0.2749
N9 N 0.5000 0.5000 0.0000
N10 N 0.0000 0.0000 0.0000
```

- Formation energy without anion corrections: -889 meV/atom
- V: 275 Å³/cell
- ρ: 9.22 g cm⁻³
- Space-group type: I4/mcm

=====

# 7
Computed, not measured: a geometry-optimized Ca2TlOsN structure at the PBE level of DFT.

Cell and atoms, written as CIF:
```
data_Ca2TlOsN
_chemical_formula_sum 'Ca2 Tl1 Os1 N1'
_symmetry_space_group_name_H-M 'P 1'
_symmetry_Int_Tables_number 1
_cell_length_a 5.1324
_cell_length_b 5.1324
_cell_length_c 3.8474
_cell_angle_alpha 90.00
_cell_angle_beta 90.00
_cell_angle_gamma 90.00
loop_
_symmetry_equiv_pos_as_xyz
'x,y,z'
loop_
_atom_site_label
_atom_site_type_symbol
_atom_site_fract_x
_atom_site_fract_y
_atom_site_fract_z
Tl1 Tl 0.5000 0.5000 0.5000
Os1 Os 0.0000 0.0000 0.5000
Ca1 Ca 0.0000 0.5000 0.0000
Ca2 Ca 0.5000 0.0000 0.0000
N1 N 0.0000 0.0000 0.0000
```

- Formation energy without anion corrections: -423 meV/atom
- V: 101 Å³/cell
- ρ: 8.01 g cm⁻³
- Space-group type: P4/mmm

=====

# 8
Computed, not measured: a geometry-optimized CaTm2OsN4 structure at the PBE level of DFT.

Cell and atoms, written as CIF:
```
data_CaTm2OsN4
_chemical_formula_sum 'Ca2 Tm4 Os2 N8'
_symmetry_space_group_name_H-M 'P 1'
_symmetry_Int_Tables_number 1
_cell_length_a 3.4047
_cell_length_b 6.0734
_cell_length_c 11.4771
_cell_angle_alpha 90.00
_cell_angle_beta 90.00
_cell_angle_gamma 106.28
loop_
_symmetry_equiv_pos_as_xyz
'x,y,z'
loop_
_atom_site_label
_atom_site_type_symbol
_atom_site_fract_x
_atom_site_fract_y
_atom_site_fract_z
Ca1 Ca 0.1279 0.2559 0.7500
Ca2 Ca 0.8721 0.7441 0.2500
Tm1 Tm 0.3684 0.7368 0.5340
Tm2 Tm 0.6316 0.2632 0.0340
Tm3 Tm 0.6316 0.2632 0.4660
Tm4 Tm 0.3684 0.7368 0.9660
Os1 Os 0.8610 0.7220 0.7500
Os2 Os 0.1390 0.2780 0.2500
N1 N 0.2564 0.5128 0.1235
N2 N 0.7436 0.4872 0.6235
N3 N 0.7436 0.4872 0.8765
N4 N 0.2564 0.5128 0.3765
N5 N 0.0000 0.0000 0.5000
N6 N 0.0000 0.0000 0.0000
N7 N 0.4391 0.8782 0.7500
N8 N 0.5609 0.1218 0.2500
```

- Formation energy without anion corrections: -900 meV/atom
- V: 228 Å³/cell
- ρ: 9.10 g cm⁻³
- Space-group type: Cmcm

=====

# 9
Computed, not measured: a geometry-optimized CaY2OsN4 structure at the PBE level of DFT.

Cell and atoms, written as CIF:
```
data_CaY2OsN4
_chemical_formula_sum 'Ca2 Y4 Os2 N8'
_symmetry_space_group_name_H-M 'P 1'
_symmetry_Int_Tables_number 1
_cell_length_a 3.4421
_cell_length_b 6.1663
_cell_length_c 11.6453
_cell_angle_alpha 90.00
_cell_angle_beta 90.00
_cell_angle_gamma 106.21
loop_
_symmetry_equiv_pos_as_xyz
'x,y,z'
loop_
_atom_site_label
_atom_site_type_symbol
_atom_site_fract_x
_atom_site_fract_y
_atom_site_fract_z
Ca1 Ca 0.1288 0.2576 0.7500
Ca2 Ca 0.8712 0.7424 0.2500
Y1 Y 0.3684 0.7369 0.5340
Y2 Y 0.6316 0.2631 0.0340
Y3 Y 0.6316 0.2631 0.4660
Y4 Y 0.3684 0.7369 0.9660
Os1 Os 0.8593 0.7186 0.7500
Os2 Os 0.1407 0.2814 0.2500
N1 N 0.2574 0.5149 0.1266
N2 N 0.7426 0.4851 0.6266
N3 N 0.7426 0.4851 0.8734
N4 N 0.2574 0.5149 0.3734
N5 N 0.0000 0.0000 0.5000
N6 N 0.0000 0.0000 0.0000
N7 N 0.4345 0.8690 0.7500
N8 N 0.5655 0.1310 0.2500
```

- Formation energy without anion corrections: -831 meV/atom
- V: 237 Å³/cell
- ρ: 6.49 g cm⁻³
- Space-group type: Cmcm

=====

# 10
Computed, not measured: a geometry-optimized Ca2ZnOsN structure at the PBE level of DFT.

Cell and atoms, written as CIF:
```
data_Ca2ZnOsN
_chemical_formula_sum 'Ca2 Zn1 Os1 N1'
_symmetry_space_group_name_H-M 'P 1'
_symmetry_Int_Tables_number 1
_cell_length_a 5.0308
_cell_length_b 5.0308
_cell_length_c 3.8070
_cell_angle_alpha 90.00
_cell_angle_beta 90.00
_cell_angle_gamma 90.00
loop_
_symmetry_equiv_pos_as_xyz
'x,y,z'
loop_
_atom_site_label
_atom_site_type_symbol
_atom_site_fract_x
_atom_site_fract_y
_atom_site_fract_z
Zn1 Zn 0.5000 0.5000 0.5000
Os1 Os 0.0000 0.0000 0.5000
Ca1 Ca 0.0000 0.5000 0.0000
Ca2 Ca 0.5000 0.0000 0.0000
N1 N 0.0000 0.0000 0.0000
```

- Formation energy without anion corrections: -395 meV/atom
- V: 96 Å³/cell
- ρ: 6.03 g cm⁻³
- Space-group type: P4/mmm

=====

# 11
Computed, not measured: a geometry-optimized Ca5P2N structure at the PBE level of DFT.

Cell and atoms, written as CIF:
```
data_Ca5P2N
_chemical_formula_sum 'Ca10 P4 N2'
_symmetry_space_group_name_H-M 'P 1'
_symmetry_Int_Tables_number 1
_cell_length_a 5.4229
_cell_length_b 7.1484
_cell_length_c 12.9126
_cell_angle_alpha 90.00
_cell_angle_beta 90.00
_cell_angle_gamma 112.29
loop_
_symmetry_equiv_pos_as_xyz
'x,y,z'
loop_
_atom_site_label
_atom_site_type_symbol
_atom_site_fract_x
_atom_site_fract_y
_atom_site_fract_z
Ca1 Ca 0.9442 0.8884 0.8757
Ca2 Ca 0.9442 0.8884 0.6243
Ca3 Ca 0.3049 0.6098 0.4004
Ca4 Ca 0.3049 0.6098 0.0996
Ca5 Ca 0.7217 0.4434 0.2500
Ca6 Ca 0.2783 0.5566 0.7500
Ca7 Ca 0.6951 0.3902 0.5996
Ca8 Ca 0.6951 0.3902 0.9004
Ca9 Ca 0.0558 0.1116 0.1243
Ca10 Ca 0.0558 0.1116 0.3757
P1 P 0.8488 0.6976 0.4310
P2 P 0.8488 0.6976 0.0690
P3 P 0.1512 0.3024 0.5690
P4 P 0.1512 0.3024 0.9310
N1 N 0.8115 0.6230 0.7500
N2 N 0.1885 0.3770 0.2500
```

- Formation energy without anion corrections: -863 meV/atom
- V: 463 Å³/cell
- ρ: 1.98 g cm⁻³
- Space-group type: Cmcm

=====

# 12
Computed, not measured: a geometry-optimized Ca2PN structure at the PBE level of DFT.

Cell and atoms, written as CIF:
```
data_Ca2PN
_chemical_formula_sum 'Ca4 P2 N2'
_symmetry_space_group_name_H-M 'P 1'
_symmetry_Int_Tables_number 1
_cell_length_a 7.0944
_cell_length_b 7.0944
_cell_length_c 5.9282
_cell_angle_alpha 53.25
_cell_angle_beta 53.25
_cell_angle_gamma 90.00
loop_
_symmetry_equiv_pos_as_xyz
'x,y,z'
loop_
_atom_site_label
_atom_site_type_symbol
_atom_site_fract_x
_atom_site_fract_y
_atom_site_fract_z
P1 P 0.0000 0.0000 0.0000
P2 P 0.7500 0.2500 0.5000
Ca1 Ca 0.5584 0.1250 0.2500
Ca2 Ca 0.1916 0.6250 0.2500
Ca3 Ca 0.3750 0.4416 0.7500
Ca4 Ca 0.8750 0.8084 0.7500
N1 N 0.5000 0.5000 0.0000
N2 N 0.2500 0.7500 0.5000
```

- Formation energy without anion corrections: -387 meV/atom
- V: 159 Å³/cell
- ρ: 2.61 g cm⁻³
- Space-group type: I-42d